Crystalline B4Os at its relaxed geometry. Source: the Open Quantum Materials Database, functional PBE.

```
10
Lattice="2.8868 0.0000 0.0000 0.0000 7.1052 0.0000 0.0000 0.0000 4.0092" Properties=species:S:1:pos:R:3 pbc="T T T"
B 0.7217 0.3402 0.7697
B 0.7217 3.2124 0.7697
B 0.7217 4.2364 2.0676
B 0.7217 6.4214 2.0676
B 2.1651 0.6838 1.9416
B 2.1651 2.8688 1.9416
B 2.1651 3.8929 3.2395
B 2.1651 6.7650 3.2395
Os 0.7217 5.3289 0.0213
Os 2.1651 1.7763 3.9879
```

## Properties
energy above the most stable polymorph in this dataset = 0 meV per atom
E_tot = -7.65 eV/atom
mass density = 9.4 g/cm3
total magnetic moment = 0.00 μB per formula unit
symmetry = Pmmn, No. 59
crystal system = orthorhombic